Run i
Tb4ScTl | PBE-GGA | relaxed

Properties
Space group: Pmmm

Lattice parameters (Å, degrees): 3.480 5.657 9.338 90.00 90.00 90.00
Positions (direct):
Tb (0.000, 0.000, 0.187)
Tb (0.000, 0.000, 0.813)
Tb (0.500, 0.500, 0.310)
Tb (0.500, 0.500, 0.690)
Sc (0.500, 0.000, 0.500)
Tl (0.000, 0.500, 0.000)

Run ii
Tb4ScTl | PBE-GGA | relaxed

Properties
Space group: C2/c

Lattice parameters (Å, degrees): 8.180 8.180 6.393 99.75 99.75 116.24
Positions (direct):
Tb (0.095, 0.712, 0.958)
Tb (0.173, 0.410, 0.617)
Tb (0.288, 0.905, 0.542)
Tb (0.410, 0.173, 0.117)
Tb (0.590, 0.827, 0.883)
Tb (0.712, 0.095, 0.458)
Tb (0.827, 0.590, 0.383)
Tb (0.905, 0.288, 0.042)
Sc (0.407, 0.593, 0.250)
Sc (0.593, 0.407, 0.750)
Tl (0.000, 0.000, 0.250)
Tl (0.000, 0.000, 0.750)

Result of the stability comparison: run i is the least stable of them.

Run i
Tb3ScTl | PBE-GGA | relaxed

Properties
Space group: Cmcm

Lattice parameters (Å, degrees): 12.586 12.586 4.765 90.00 90.00 158.19
Positions (direct):
Tb (0.052, 0.948, 0.750)
Tb (0.250, 0.750, 0.750)
Tb (0.446, 0.554, 0.750)
Tb (0.554, 0.446, 0.250)
Tb (0.750, 0.250, 0.250)
Tb (0.948, 0.052, 0.250)
Sc (0.151, 0.849, 0.250)
Sc (0.849, 0.151, 0.750)
Tl (0.348, 0.652, 0.250)
Tl (0.652, 0.348, 0.750)

Run ii
Tb3ScTl | PBE-GGA | relaxed

Properties
Space group: P-1

Lattice parameters (Å, degrees): 3.560 8.238 10.754 109.00 90.02 102.47
Positions (direct):
Tb (0.073, 0.146, 0.161)
Tb (0.356, 0.712, 0.527)
Tb (0.362, 0.724, 0.080)
Tb (0.638, 0.276, 0.920)
Tb (0.644, 0.288, 0.473)
Tb (0.927, 0.854, 0.839)
Sc (0.044, 0.087, 0.647)
Sc (0.956, 0.913, 0.353)
Tl (0.246, 0.489, 0.752)
Tl (0.754, 0.511, 0.248)

Result of the stability comparison: run i is the least stable of them.

Run i
Tb2ScTl2 | PBE-GGA | relaxed

Properties
Space group: P4/mbm

Lattice parameters (Å, degrees): 7.914 7.914 4.453 90.00 90.00 90.00
Positions (direct):
Tb (0.171, 0.329, 0.000)
Tb (0.329, 0.829, 0.000)
Tb (0.671, 0.171, 0.000)
Tb (0.829, 0.671, 0.000)
Sc (0.000, 0.000, 0.500)
Sc (0.500, 0.500, 0.500)
Tl (0.135, 0.635, 0.500)
Tl (0.365, 0.135, 0.500)
Tl (0.635, 0.865, 0.500)
Tl (0.865, 0.365, 0.500)

Run ii
Tb2ScTl2 | PBE-GGA | relaxed

Properties
Space group: Immm

Lattice parameters (Å, degrees): 6.123 6.123 6.123 135.73 114.13 82.83
Positions (direct):
Tb (0.197, 0.197, 0.000)
Tb (0.803, 0.803, 0.000)
Sc (0.500, 0.000, 0.500)
Tl (0.228, 0.500, 0.728)
Tl (0.772, 0.500, 0.272)

Result of the stability comparison: run ii is the least stable of them.

Run i
Tb2ScTl | PBE-GGA | relaxed

Properties
Space group: P4/mmm

Lattice parameters (Å, degrees): 5.371 5.371 3.850 90.00 90.00 90.00
Positions (direct):
Tb (0.000, 0.500, 0.000)
Tb (0.500, 0.000, 0.000)
Sc (0.000, 0.000, 0.500)
Tl (0.500, 0.500, 0.500)

Run ii
Tb2ScTl | PBE-GGA | relaxed

Properties
Space group: R3m

Lattice parameters (Å, degrees): 10.948 10.948 10.948 18.50 18.50 18.50
Positions (direct):
Tb (0.000, 0.000, 0.000)
Tb (0.166, 0.166, 0.166)
Sc (0.750, 0.750, 0.750)
Tl (0.583, 0.583, 0.583)

Result of the stability comparison: run ii is the least stable of them.